No. 1
# ZrUOs

ZrUOs after structural relaxation (PBE, OQMD).

```
data_ZrUOs
_chemical_formula_sum 'Zr4 U4 Os4'
_space_group_name_H-M_alt 'F -4 3 m'
_space_group_IT_number 216
_space_group_name_Hall 'F -4 2 3'
_cell_length_a 6.501
_cell_length_b 6.501
_cell_length_c 6.501
_cell_angle_alpha 90.00
_cell_angle_beta 90.00
_cell_angle_gamma 90.00
loop_
_atom_site_label
_atom_site_fract_x
_atom_site_fract_y
_atom_site_fract_z
_atom_site_occupancy
Zr1 0.000 0.000 0.000 1
U1 0.000 0.000 0.500 1
Os1 0.250 0.250 0.750 1
```

## Properties
Magnetization (μB/cell): 12.14
DFT formation energy (eV per atom): 0.169
Energy above the lowest structure with this stoichiometry (meV per atom): 0
Calculated total energy (eV per atom): -10.187

***

No. 2
# ZnAgTeO

ZnAgTeO after structural relaxation (PBE, OQMD).

```
data_ZnAgTeO
_chemical_formula_sum 'Zn4 Ag4 Te4 O4'
_space_group_name_H-M_alt 'P n m a'
_space_group_IT_number 62
_space_group_name_Hall '-P 2ac 2n'
_cell_length_a 6.561
_cell_length_b 3.278
_cell_length_c 14.044
_cell_angle_alpha 90.00
_cell_angle_beta 90.00
_cell_angle_gamma 90.00
loop_
_atom_site_label
_atom_site_fract_x
_atom_site_fract_y
_atom_site_fract_z
_atom_site_occupancy
Zn1 0.212 0.250 0.076 1
Ag1 0.037 0.750 0.257 1
Te1 0.215 0.750 0.902 1
O1 0.221 0.250 0.643 1
```

## Properties
Energy above the lowest structure with this stoichiometry (meV per atom): 168
Calculated total energy (eV per atom): -3.447

***

No. 3
# CsSmO3

CsSmO3 after structural relaxation (PBE, OQMD).

```
data_CsSmO3
_chemical_formula_sum 'Cs1 Sm1 O3'
_space_group_name_H-M_alt 'P 4 m m'
_space_group_IT_number 99
_space_group_name_Hall 'P 4 -2'
_cell_length_a 3.385
_cell_length_b 3.385
_cell_length_c 7.623
_cell_angle_alpha 90.00
_cell_angle_beta 90.00
_cell_angle_gamma 90.00
loop_
_atom_site_label
_atom_site_fract_x
_atom_site_fract_y
_atom_site_fract_z
_atom_site_occupancy
Cs1 0.000 0.000 0.000 1
Sm1 0.500 0.500 0.509 1
O1 0.000 0.000 0.615 1
O2 0.000 0.500 0.291 1
```

## Properties
Magnetization (μB/cell): 0.03
Calculated total energy (eV per atom): -5.635

***

No. 4
# DyCuNiGe2

DyCuNiGe2 after structural relaxation (PBE, OQMD).

```
data_DyCuNiGe2
_chemical_formula_sum 'Dy2 Cu2 Ni2 Ge4'
_space_group_name_H-M_alt 'I -4 m 2'
_space_group_IT_number 119
_space_group_name_Hall 'I -4 -2'
_cell_length_a 4.065
_cell_length_b 4.065
_cell_length_c 9.971
_cell_angle_alpha 90.00
_cell_angle_beta 90.00
_cell_angle_gamma 90.00
loop_
_atom_site_label
_atom_site_fract_x
_atom_site_fract_y
_atom_site_fract_z
_atom_site_occupancy
Dy1 0.000 0.000 0.000 1
Cu1 0.000 0.500 0.750 1
Ni1 0.000 0.500 0.250 1
Ge1 0.000 0.000 0.375 1
```

## Properties
Magnetization (μB/cell): 0.02
Calculated total energy (eV per atom): -5.221

***

No. 5
# Tm2Sb2O5

Tm2Sb2O5 after structural relaxation (PBE, OQMD).

```
data_Tm2Sb2O5
_chemical_formula_sum 'Tm2 Sb2 O5'
_space_group_name_H-M_alt 'P 4/m m m'
_space_group_IT_number 123
_space_group_name_Hall '-P 4 2'
_cell_length_a 3.956
_cell_length_b 3.956
_cell_length_c 8.312
_cell_angle_alpha 90.00
_cell_angle_beta 90.00
_cell_angle_gamma 90.00
loop_
_atom_site_label
_atom_site_fract_x
_atom_site_fract_y
_atom_site_fract_z
_atom_site_occupancy
Tm1 0.000 0.000 0.000 1
Tm2 0.000 0.000 0.500 1
Sb1 0.500 0.500 0.242 1
O1 0.000 0.500 0.317 1
O2 0.500 0.500 0.500 1
```

## Properties
Magnetization (μB/cell): 0.01
Calculated total energy (eV per atom): -6.215

***

No. 6
# Hf2TaHg

Hf2TaHg after structural relaxation (PBE, OQMD).

```
data_Hf2TaHg
_chemical_formula_sum 'Hf8 Ta4 Hg4'
_space_group_name_H-M_alt 'F -4 3 m'
_space_group_IT_number 216
_space_group_name_Hall 'F -4 2 3'
_cell_length_a 6.841
_cell_length_b 6.841
_cell_length_c 6.841
_cell_angle_alpha 90.00
_cell_angle_beta 90.00
_cell_angle_gamma 90.00
loop_
_atom_site_label
_atom_site_fract_x
_atom_site_fract_y
_atom_site_fract_z
_atom_site_occupancy
Hf1 0.000 0.000 0.000 1
Hf2 0.250 0.250 0.250 1
Ta1 0.000 0.000 0.500 1
Hg1 0.250 0.250 0.750 1
```

## Properties
Magnetization (μB/cell): 0.04
DFT formation energy (eV per atom): 0.285
Calculated total energy (eV per atom): -7.730

***

No. 7
# TmInNiSe3

TmInNiSe3 after structural relaxation (PBE, OQMD).

```
data_TmInNiSe3
_chemical_formula_sum 'Tm4 In4 Ni4 Se12'
_space_group_name_H-M_alt 'C 1 2/m 1'
_space_group_IT_number 12
_space_group_name_Hall '-C 2y'
_cell_length_a 16.404
_cell_length_b 4.022
_cell_length_c 8.893
_cell_angle_alpha 90.00
_cell_angle_beta 105.86
_cell_angle_gamma 90.00
loop_
_atom_site_label
_atom_site_fract_x
_atom_site_fract_y
_atom_site_fract_z
_atom_site_occupancy
Tm1 0.172 0.000 0.094 1
In1 0.137 0.000 0.563 1
Ni1 0.003 0.500 0.188 1
Se1 0.000 0.000 0.000 1
Se2 0.000 0.500 0.500 1
Se3 0.152 0.500 0.861 1
Se4 0.157 0.500 0.303 1
```

## Properties
Magnetization (μB/cell): 0.18
Calculated total energy (eV per atom): -4.665

***

No. 8
# Pm3AgPt8

Pm3AgPt8 after structural relaxation (PBE, OQMD).

```
data_Pm3AgPt8
_chemical_formula_sum 'Pm9 Ag3 Pt24'
_space_group_name_H-M_alt 'R 3 m'
_space_group_IT_number 160
_space_group_name_Hall 'R 3 -2"'
_cell_length_a 5.4568
_cell_length_b 5.4568
_cell_length_c 26.7837
_cell_angle_alpha 90.00
_cell_angle_beta 90.00
_cell_angle_gamma 120.00
loop_
_atom_site_label
_atom_site_fract_x
_atom_site_fract_y
_atom_site_fract_z
_atom_site_occupancy
Pm1 0.0000 0.0000 0.0000 1
Pm2 0.0000 0.0000 0.1296 1
Pm3 0.0000 0.0000 0.5169 1
Ag1 0.0000 0.0000 0.6367 1
Pt1 0.0000 0.0000 0.3190 1
Pt2 0.0000 0.0000 0.8193 1
Pt3 0.0000 0.5000 0.0698 1
Pt4 0.1681 0.3362 0.9022 1
```

## Properties
Magnetization (μB/cell): 0.02
DFT formation energy (eV per atom): -0.921
Calculated total energy (eV per atom): -6.380

***

No. 9
# TmSnAuS3

TmSnAuS3 after structural relaxation (PBE, OQMD).

```
data_TmSnAuS3
_chemical_formula_sum 'Tm4 Sn4 Au4 S12'
_space_group_name_H-M_alt 'P n m a'
_space_group_IT_number 62
_space_group_name_Hall '-P 2ac 2n'
_cell_length_a 14.365
_cell_length_b 4.034
_cell_length_c 10.884
_cell_angle_alpha 90.00
_cell_angle_beta 90.00
_cell_angle_gamma 90.00
loop_
_atom_site_label
_atom_site_fract_x
_atom_site_fract_y
_atom_site_fract_z
_atom_site_occupancy
Tm1 0.011 0.250 0.153 1
Sn1 0.242 0.250 0.919 1
Au1 0.106 0.250 0.538 1
S1 0.094 0.250 0.750 1
S2 0.103 0.750 0.039 1
S3 0.147 0.250 0.329 1
```

## Properties
Magnetization (μB/cell): 0.00
Energy above the lowest structure with this stoichiometry (meV per atom): 39
Calculated total energy (eV per atom): -5.010

***

No. 10
# BaCuP

BaCuP after structural relaxation (PBE, OQMD).

```
data_BaCuP
_chemical_formula_sum 'Ba2 Cu2 P2'
_space_group_name_H-M_alt 'P -6 m 2'
_space_group_IT_number 187
_space_group_name_Hall 'P -6 2'
_cell_length_a 4.2141
_cell_length_b 4.2141
_cell_length_c 9.2809
_cell_angle_alpha 90.00
_cell_angle_beta 90.00
_cell_angle_gamma 120.00
loop_
_atom_site_label
_atom_site_fract_x
_atom_site_fract_y
_atom_site_fract_z
_atom_site_occupancy
Ba1 0.0000 0.0000 0.0000 1
Ba2 0.0000 0.0000 0.5000 1
Cu1 0.6667 0.3333 0.2493 1
P1 0.3333 0.6667 0.2497 1
```

## Properties
Calculated total energy (eV per atom): -4.415

***

No. 11
# Mo2As3W4C3

Mo2As3W4C3 after structural relaxation (PBE, OQMD).

```
data_Mo2As3W4C3
_chemical_formula_sum 'Mo8 As12 W16 C12'
_space_group_name_H-M_alt 'C 1 2/c 1'
_space_group_IT_number 15
_space_group_name_Hall '-C 2yc'
_cell_length_a 9.787
_cell_length_b 5.638
_cell_length_c 12.380
_cell_angle_alpha 90.00
_cell_angle_beta 103.99
_cell_angle_gamma 90.00
loop_
_atom_site_label
_atom_site_fract_x
_atom_site_fract_y
_atom_site_fract_z
_atom_site_occupancy
Mo1 0.035 0.072 0.402 1
As1 0.000 0.425 0.250 1
As2 0.173 0.089 0.752 1
W1 0.108 0.389 0.587 1
W2 0.235 0.433 0.916 1
C1 0.089 0.264 0.000 1
C2 0.250 0.250 0.500 1
```

## Properties
Magnetization (μB/cell): 0.00
Calculated total energy (eV per atom): -9.502

***

No. 12
# Tl2Ir2O5

Tl2Ir2O5 after structural relaxation (PBE, OQMD).

```
data_Tl2Ir2O5
_chemical_formula_sum 'Tl2 Ir2 O5'
_space_group_name_H-M_alt 'P 4/m m m'
_space_group_IT_number 123
_space_group_name_Hall '-P 4 2'
_cell_length_a 3.475
_cell_length_b 3.475
_cell_length_c 9.838
_cell_angle_alpha 90.00
_cell_angle_beta 90.00
_cell_angle_gamma 90.00
loop_
_atom_site_label
_atom_site_fract_x
_atom_site_fract_y
_atom_site_fract_z
_atom_site_occupancy
Tl1 0.000 0.000 0.226 1
Ir1 0.500 0.500 0.000 1
Ir2 0.500 0.500 0.500 1
O1 0.000 0.000 0.000 1
O2 0.000 0.500 0.383 1
```

## Properties
Magnetization (μB/cell): 0.19
Energy above the lowest structure with this stoichiometry (meV per atom): 437
Calculated total energy (eV per atom): -5.216

***

- Which value of calculated total energy does entry 4 give?
  -5.221 eV per atom

***

- Which formula does entry 8 have?
  Pm3AgPt8